This record from Alexandria via LeMat-Bulk describes MgFe3Tc after structural relaxation. The functional is PBE.

## Properties
ΔH_f (0 K) (meV/atom): 1177
Offset from the most stable computed form (eV per atom): 0.000

a b c (Å): 4.491 4.491 4.491
angles (deg): 90.00 90.00 90.00
Sites, in units of the cell vectors:
Mg (0.000, 0.000, 0.000)
Fe (0.000, 0.500, 0.500)
Fe (0.500, 0.000, 0.500)
Fe (0.500, 0.500, 0.000)
Tc (0.500, 0.500, 0.500)

This record from Alexandria via LeMat-Bulk describes Ce3PmTl4 after structural relaxation. The functional is PBE.

## Properties
ΔH_f (0 K) (meV/atom): -234
Offset from the most stable computed form (eV per atom): 0.010

a b c (Å): 10.081 6.681 6.692
angles (deg): 90.00 90.00 90.00
Sites, in units of the cell vectors:
Ce (0.000, 0.040, 0.000)
Ce (0.228, 0.221, 0.813)
Ce (0.272, 0.779, 0.313)
Ce (0.500, 0.960, 0.500)
Ce (0.728, 0.779, 0.313)
Ce (0.772, 0.221, 0.813)
Pm (0.000, 0.538, 0.549)
Pm (0.500, 0.462, 0.049)
Tl (0.000, 0.023, 0.507)
Tl (0.000, 0.535, 0.057)
Tl (0.242, 0.272, 0.306)
Tl (0.258, 0.728, 0.806)
Tl (0.500, 0.465, 0.557)
Tl (0.500, 0.977, 0.007)
Tl (0.742, 0.728, 0.806)
Tl (0.758, 0.272, 0.306)

This record from Alexandria via LeMat-Bulk describes Ga2AsIr2 after structural relaxation. The functional is PBE.

## Properties
ΔH_f (0 K) (meV/atom): -227

a b c (Å): 7.382 7.382 2.889
angles (deg): 90.00 90.00 90.00
Sites, in units of the cell vectors:
Ga (0.135, 0.365, 0.000)
Ga (0.365, 0.865, 0.000)
Ga (0.635, 0.135, 0.000)
Ga (0.865, 0.635, 0.000)
As (0.000, 0.000, 0.500)
As (0.500, 0.500, 0.500)
Ir (0.162, 0.662, 0.500)
Ir (0.338, 0.162, 0.500)
Ir (0.662, 0.838, 0.500)
Ir (0.838, 0.338, 0.500)

This record from Alexandria via LeMat-Bulk describes SiAu after structural relaxation. The functional is PBE.

## Properties
Uncorrected formation energy (kJ/mol of atoms): 0.6

a b c (Å): 3.863 4.739 5.121
angles (deg): 111.39 104.61 104.59
Sites, in units of the cell vectors:
Si (0.202, 0.351, 0.498)
Si (0.798, 0.649, 0.502)
Au (0.210, 0.208, 0.916)
Au (0.790, 0.792, 0.084)

This record from Alexandria via LeMat-Bulk describes CdBPdPt2 after structural relaxation. The functional is PBE.

## Properties
ΔH_f (0 K) (meV/atom): -301

a b c (Å): 4.196 4.196 4.335
angles (deg): 90.00 90.00 90.00
Sites, in units of the cell vectors:
Cd (0.000, 0.000, 0.000)
B (0.500, 0.500, 0.500)
Pd (0.500, 0.500, 0.000)
Pt (0.000, 0.500, 0.500)
Pt (0.500, 0.000, 0.500)

This record from Alexandria via LeMat-Bulk describes MgCd2Sn2 after structural relaxation. The functional is PBE.

## Properties
ΔH_f (0 K) (meV/atom): 116
Offset from the most stable computed form (eV per atom): 0.104

a b c (Å): 7.405 7.405 7.405
angles (deg): 144.29 144.29 51.40
Sites, in units of the cell vectors:
Mg (0.000, 0.000, 0.000)
Cd (0.399, 0.399, 0.000)
Cd (0.601, 0.601, 0.000)
Sn (0.250, 0.750, 0.500)
Sn (0.750, 0.250, 0.500)

This record from Alexandria via LeMat-Bulk describes Ti5Ga8Au after structural relaxation. The functional is PBE.

## Properties
ΔH_f (0 K) (meV/atom): -227

a b c (Å): 6.768 6.768 6.768
angles (deg): 108.40 108.40 111.64
Sites, in units of the cell vectors:
Ti (0.000, 0.000, 0.000)
Ti (0.037, 0.241, 0.584)
Ti (0.547, 0.963, 0.204)
Ti (0.657, 0.453, 0.416)
Ti (0.759, 0.343, 0.796)
Ga (0.113, 0.688, 0.810)
Ga (0.256, 0.475, 0.096)
Ga (0.312, 0.122, 0.426)
Ga (0.379, 0.160, 0.904)
Ga (0.525, 0.621, 0.781)
Ga (0.696, 0.887, 0.574)
Ga (0.840, 0.744, 0.219)
Ga (0.878, 0.304, 0.190)
Au (0.250, 0.750, 0.500)

This record from Alexandria via LeMat-Bulk describes PPdPbO2 after structural relaxation. The functional is PBE.

## Properties
Offset from the most stable computed form (eV per atom): 0.000
Uncorrected formation energy (kJ/mol of atoms): 2.0

a b c (Å): 4.067 4.067 4.822
angles (deg): 90.00 90.00 90.00
Sites, in units of the cell vectors:
P (0.000, 0.000, 0.000)
Pd (0.000, 0.000, 0.500)
Pb (0.500, 0.500, 0.000)
O (0.000, 0.500, 0.500)
O (0.500, 0.000, 0.500)

| no. | calculated volume (A^3/atom) |
| --- | --- |
| 1 | 18.11 |
| 2 | 28.17 |
| 3 | 15.74 |
| 4 | 19.52 |
| 5 | 15.27 |
| 6 | 27.52 |
| 7 | 17.03 |
| 8 | 15.95 |